The following is a PBE calculation of a geometry-optimized Ti2AgPd structure, from Alexandria via LeMat-Bulk.

The structure in extended XYZ format:
```
4
Lattice="2.833 0.000 0.000 0.000 2.833 0.000 0.000 0.000 8.180" Properties=species:S:1:pos:R:3 pbc="T T T"
Ti 0.000 0.000 6.251
Ti 0.000 0.000 1.929
Pd 1.417 1.417 0.000
Ag 1.417 1.417 4.090
```

DOS(E_F), states/eV/f.u.: 5.2
Polymorph energy (0 for the lowest one), meV per atom: 0
Formation energy from the elements, eV/atom: -0.205